VASP calculation (PBE) on a relaxed structure of TaTiRh.

The structure in POSCAR format:
```
TaTiRh
1.0
-0.607 -1.525 2.713
-3.698 -4.015 -3.092
4.468 -2.693 1.342
Ti Rh Ta
2 2 2
direct
0.760 0.507 0.230 Ti
0.082 0.839 0.587 Ti
0.421 0.673 0.908 Rh
0.421 0.173 0.908 Rh
0.757 0.002 0.236 Ta
0.085 0.344 0.581 Ta
```

Energy of formation from the pure elements: -470 meV/atom
Crystal system: monoclinic
DOS(E_F): 3.8 states/eV/cell
Excess energy over the best structure of this formula in the dataset: 10 meV per atom
Calculated volume: 98 Å³ per cell
Total moment: 0.0 μB per cell



VASP calculation (PBE) on a relaxed structure of Ti2SiC.

The structure in POSCAR format:
```
Ti2SiC
1.0
-1.609 -2.540 0.520
1.085 0.574 -2.793
10.846 -6.272 2.923
Si Ti C
2 4 2
direct
0.333 0.667 0.750 Si
0.667 0.333 0.250 Si
0.667 0.333 0.908 Ti
0.667 0.333 0.592 Ti
0.333 0.667 0.408 Ti
0.333 0.667 0.092 Ti
0.000 0.000 0.500 C
0.000 0.000 0.000 C
```

Energy relative to the elements, uncorrected: -0.786 eV/atom
Crystal system: hexagonal
DOS(E_F): 4.0 states/eV/cell
Calculated volume: 104 Å³ per cell
Total moment: 0.0 μB per cell



VASP calculation (PBE) on a relaxed structure of PuNpRe4.

The structure in POSCAR format:
```
PuNpRe4
1.0
5.389 0.000 0.000
2.694 4.667 0.000
2.694 1.556 4.400
Pu Np Re
1 1 4
direct
0.000 0.000 0.000 Pu
0.250 0.250 0.250 Np
0.625 0.625 0.625 Re
0.625 0.125 0.625 Re
0.125 0.625 0.625 Re
0.625 0.625 0.125 Re
```

Energy of formation from the pure elements: 108 meV/atom
Crystal system: cubic
DOS(E_F): 20.1 states/eV/cell
Calculated volume: 111 Å³ per cell
Total moment: 1.6 μB per cell



VASP calculation (PBE) on a relaxed structure of UNi5As3.

The structure in POSCAR format:
```
UNi5As3
1.0
-3.546 0.973 0.158
1.046 -2.190 -5.893
-2.804 -10.783 3.508
As Ni U
6 10 2
direct
0.619 0.237 0.053 As
0.874 0.748 0.250 As
0.381 0.763 0.553 As
0.619 0.237 0.447 As
0.381 0.763 0.947 As
0.126 0.252 0.750 As
0.557 0.115 0.856 Ni
0.557 0.115 0.644 Ni
0.000 0.000 0.000 Ni
0.195 0.391 0.563 Ni
0.195 0.391 0.937 Ni
0.443 0.885 0.356 Ni
0.805 0.609 0.437 Ni
0.000 0.000 0.500 Ni
0.443 0.885 0.144 Ni
0.805 0.609 0.063 Ni
0.150 0.300 0.250 U
0.850 0.700 0.750 U
```

Energy of formation from the pure elements: -386 meV/atom
Crystal system: orthorhombic
DOS(E_F): 20.7 states/eV/cell
Calculated volume: 262 Å³ per cell
Total moment: 5.3 μB per cell



VASP calculation (PBE) on a relaxed structure of NaCrTe2Au.

The structure in POSCAR format:
```
NaCrTe2Au
1.0
5.109 0.000 0.000
0.000 7.183 0.000
0.000 -3.591 7.898
Te Au Cr Na
4 2 2 2
direct
0.343 0.376 0.752 Te
0.657 0.876 0.752 Te
0.343 0.124 0.248 Te
0.657 0.624 0.248 Te
0.000 0.500 0.000 Au
0.000 0.000 0.000 Au
0.500 0.250 0.000 Cr
0.500 0.750 0.000 Cr
0.842 0.250 0.500 Na
0.158 0.750 0.500 Na
```

Energy relative to the elements, uncorrected: -0.221 eV/atom
Crystal system: orthorhombic
DOS(E_F): 3.3 states/eV/cell
Calculated volume: 290 Å³ per cell
Total moment: 8.0 μB per cell



VASP calculation (PBE) on a relaxed structure of Hf3Ti4Sb4.

The structure in POSCAR format:
```
Hf3Ti4Sb4
1.0
3.770 0.000 0.000
0.000 8.337 0.000
-1.885 -4.169 7.286
Sb Hf Ti
4 3 4
direct
0.775 0.275 0.550 Sb
0.500 0.202 0.000 Sb
0.225 0.725 0.450 Sb
0.500 0.798 0.000 Sb
0.885 0.885 0.769 Hf
0.000 0.500 0.000 Hf
0.115 0.115 0.231 Hf
0.323 0.534 0.646 Ti
0.677 0.888 0.354 Ti
0.323 0.112 0.646 Ti
0.677 0.466 0.354 Ti
```

Energy relative to the elements, uncorrected: -0.393 eV/atom
Crystal system: orthorhombic
DOS(E_F): 8.6 states/eV/cell
Calculated volume: 229 Å³ per cell
Total moment: 0.0 μB per cell



VASP calculation (PBE) on a relaxed structure of Tb6Pr2Nd.

The structure in POSCAR format:
```
Tb6Pr2Nd
1.0
-3.199 0.666 1.315
2.431 2.868 9.153
0.725 9.752 1.515
Tb Pr Nd
6 2 1
direct
0.179 0.989 0.656 Tb
0.821 0.011 0.344 Tb
0.500 0.313 0.687 Tb
0.500 0.687 0.313 Tb
0.179 0.656 0.989 Tb
0.821 0.344 0.011 Tb
0.845 0.657 0.657 Pr
0.155 0.343 0.343 Pr
0.000 0.000 0.000 Nd
```

Energy of formation from the pure elements: 102 meV/atom
Crystal system: monoclinic
DOS(E_F): 14.0 states/eV/cell
Excess energy over the best structure of this formula in the dataset: 7 meV per atom
Calculated volume: 302 Å³ per cell
Total moment: 0.0 μB per cell



VASP calculation (PBE) on a relaxed structure of K2Be.

The structure in POSCAR format:
```
K2Be
1.0
2.606 -6.194 0.000
2.606 6.194 0.000
0.000 0.000 8.004
K Be
4 2
direct
0.500 0.500 0.722 K
0.798 0.202 0.473 K
0.500 0.500 0.222 K
0.202 0.798 0.973 K
0.894 0.106 0.970 Be
0.106 0.894 0.470 Be
```

Energy of formation from the pure elements: 793 meV/atom
Crystal system: orthorhombic
DOS(E_F): 3.9 states/eV/cell
Excess energy over the best structure of this formula in the dataset: 334 meV per atom
Calculated volume: 258 Å³ per cell
Total moment: 0.0 μB per cell



VASP calculation (PBE) on a relaxed structure of NpPaIrOs.

The structure in POSCAR format:
```
NpPaIrOs
1.0
4.848 0.000 0.000
2.424 4.199 0.000
2.424 1.400 3.958
Pa Np Os Ir
1 1 1 1
direct
0.750 0.750 0.750 Pa
0.250 0.250 0.250 Np
0.500 0.500 0.500 Os
0.000 0.000 0.000 Ir
```

Energy of formation from the pure elements: -217 meV/atom
Crystal system: cubic
DOS(E_F): 7.2 states/eV/cell
Calculated volume: 81 Å³ per cell
Total moment: 4.1 μB per cell



VASP calculation (PBE) on a relaxed structure of Ba2LaPt.

The structure in POSCAR format:
```
Ba2LaPt
1.0
10.155 0.002 -0.003
9.403 3.835 -0.003
0.964 0.189 4.320
Ba La Pt
2 1 1
direct
0.592 0.592 0.407 Ba
0.908 0.908 0.093 Ba
0.750 0.750 0.750 La
0.250 0.250 0.250 Pt
```

Energy of formation from the pure elements: -443 meV/atom
Crystal system: orthorhombic
DOS(E_F): 3.9 states/eV/cell
Excess energy over the best structure of this formula in the dataset: 135 meV per atom
Calculated volume: 168 Å³ per cell
Total moment: 0.0 μB per cell



VASP calculation (PBE) on a relaxed structure of LaSc2Ni2.

The structure in POSCAR format:
```
LaSc2Ni2
1.0
4.714 0.000 0.000
0.000 4.714 0.000
2.357 2.357 5.025
Sc Ni La
2 2 1
direct
0.660 0.660 0.680 Sc
0.340 0.340 0.320 Sc
0.750 0.250 0.500 Ni
0.250 0.750 0.500 Ni
0.000 0.000 0.000 La
```

Energy of formation from the pure elements: -125 meV/atom
Crystal system: tetragonal
DOS(E_F): 6.8 states/eV/cell
Excess energy over the best structure of this formula in the dataset: 174 meV per atom
Calculated volume: 112 Å³ per cell
Total moment: 0.8 μB per cell



VASP calculation (PBE) on a relaxed structure of RbNa2W.

The structure in POSCAR format:
```
RbNa2W
1.0
-3.872 -3.282 2.847
-4.144 -2.829 -2.948
0.201 -5.798 -0.463
Na Rb W
2 1 1
direct
0.750 0.750 0.750 Na
0.250 0.250 0.250 Na
0.000 0.000 0.000 Rb
0.500 0.500 0.500 W
```

Energy of formation from the pure elements: 1454 meV/atom
Crystal system: cubic
DOS(E_F): 1.6 states/eV/cell
Excess energy over the best structure of this formula in the dataset: 0 meV per atom
Calculated volume: 139 Å³ per cell
Total moment: 4.7 μB per cell



The highest DOS(E_F) belongs to which entry? UNi5As3